Version 1
10
Lattice="8.172 0.000 0.000 0.000 8.172 0.000 0.000 0.000 3.935" Properties=species:S:1:pos:R:3 comment="PBE-GGA NaAl2Bi2, optimized geometry" magmom_total_mub_per_fu=0.00 pbc="T T T"
Na 0.000 0.000 0.000
Na 4.086 4.086 0.000
Al 0.979 3.107 0.000
Al 3.107 7.193 0.000
Al 5.065 0.979 0.000
Al 7.193 5.065 0.000
Bi 1.389 5.475 1.967
Bi 2.697 1.389 1.967
Bi 5.475 6.783 1.967
Bi 6.783 2.697 1.967

---

Version 2
5
Lattice="-2.674 2.674 5.085 2.674 -2.674 5.085 2.674 2.674 -5.085" Properties=species:S:1:pos:R:3 comment="PBE-GGA NaAl2Bi2, optimized geometry" magmom_total_mub_per_fu=0.00 pbc="T T T"
Na 0.000 0.000 0.000
Al 0.000 0.000 3.799
Al 0.000 0.000 6.370
Bi 2.674 0.000 2.542
Bi 0.000 2.674 2.542

---

The least stable of them is version 1.

---

Version 1
4
Lattice="0.000 3.388 3.388 3.388 0.000 3.388 3.388 3.388 0.000" Properties=species:S:1:pos:R:3 comment="PBE-GGA Nb2AlBi, optimized geometry" magmom_total_mub_per_fu=0.00 pbc="T T T"
Nb 1.694 1.694 1.694
Nb 5.083 5.083 5.083
Al 0.000 0.000 0.000
Bi 3.388 3.388 3.388

---

Version 2
8
Lattice="-2.044 2.044 10.183 2.044 -2.044 10.183 2.044 2.044 -10.183" Properties=species:S:1:pos:R:3 comment="PBE-GGA Nb2AlBi, optimized geometry" magmom_total_mub_per_fu=0.00 pbc="T T T"
Nb 3.066 0.919 -2.546
Nb 0.919 1.022 2.546
Nb -1.022 1.125 7.638
Nb 1.125 1.022 12.729
Al 0.000 0.000 0.000
Al 0.000 2.044 5.092
Bi 2.044 0.000 5.092
Bi 0.000 0.000 10.183

---

The least stable of them is version 2.

---

Version 1
10
Lattice="8.026 0.000 0.000 0.000 8.026 0.000 0.000 0.000 3.551" Properties=species:S:1:pos:R:3 comment="PBE-GGA Nb2AlBi2, optimized geometry" magmom_total_mub_per_fu=0.00 pbc="T T T"
Nb 1.186 2.827 0.000
Nb 2.827 6.840 0.000
Nb 5.199 1.186 0.000
Nb 6.840 5.199 0.000
Al 0.000 0.000 1.775
Al 4.013 4.013 1.775
Bi 1.189 5.202 1.775
Bi 2.824 1.189 1.775
Bi 5.202 6.837 1.775
Bi 6.837 2.824 1.775

---

Version 2
5
Lattice="-1.919 1.919 8.591 1.919 -1.919 8.591 1.919 1.919 -8.591" Properties=species:S:1:pos:R:3 comment="PBE-GGA Nb2AlBi2, optimized geometry" magmom_total_mub_per_fu=0.00 pbc="T T T"
Nb 1.919 0.000 4.295
Nb 0.000 1.919 4.295
Al 0.000 0.000 0.000
Bi 0.000 0.000 6.690
Bi 0.000 0.000 10.492

---

The least stable of them is version 1.

---

Version 1
5
Lattice="-1.889 1.889 5.749 1.889 -1.889 5.749 1.889 1.889 -5.749" Properties=species:S:1:pos:R:3 comment="PBE-GGA Al2Ni2Bi, optimized geometry" magmom_total_mub_per_fu=0.00 pbc="T T T"
Al 1.889 0.000 2.875
Al 0.000 1.889 2.875
Ni 0.000 0.000 1.309
Ni 0.000 0.000 10.190
Bi 0.000 0.000 5.749

---

Version 2
10
Lattice="7.573 0.000 0.000 0.000 7.573 0.000 0.000 0.000 2.847" Properties=species:S:1:pos:R:3 comment="PBE-GGA Al2Ni2Bi, optimized geometry" magmom_total_mub_per_fu=0.00 pbc="T T T"
Al 0.972 2.815 0.000
Al 2.815 6.602 0.000
Al 4.758 0.972 0.000
Al 6.602 4.758 0.000
Ni 1.161 4.948 1.423
Ni 2.626 1.161 1.423
Ni 4.948 6.412 1.423
Ni 6.412 2.626 1.423
Bi 0.000 0.000 0.000
Bi 3.787 3.787 0.000

---

The least stable of them is version 2.